# Cs2PaGeN4, optimized geometry, DFT PBE
data_Cs2PaGeN4
_chemical_formula_sum 'Cs4 Pa2 Ge2 N8'
_cell_length_a 6.5617
_cell_length_b 7.1465
_cell_length_c 7.6337
_cell_angle_alpha 90.00
_cell_angle_beta 90.00
_cell_angle_gamma 90.00
_space_group_name_H-M_alt 'P m m n'
_space_group_IT_number 59
loop_
_space_group_symop_operation_xyz
'x,y,z'
'-x,-y,-z'
'-x+1/2,-y+1/2,z'
'x+1/2,y+1/2,-z'
'x+1/2,-y,-z'
'-x+1/2,y,z'
'-x,y+1/2,-z'
'x,-y+1/2,z'
loop_
_atom_site_label
_atom_site_fract_x
_atom_site_fract_y
_atom_site_fract_z
Cs1 0.2500 0.0006 0.1985
Pa1 0.2500 0.2500 0.6463
Ge1 0.2500 0.7500 0.6513
N1 0.0130 0.7500 0.5097
N2 0.2500 0.5199 0.7764
# * total energy: -6.4432 eV/atom
# * crystal system: orthorhombic
# * ρ: 5.80 g/cm3
# * total moment: 0.00 μB/f.u.



# Tb4NdRu2, optimized geometry, DFT PBE
data_Tb4NdRu2
_chemical_formula_sum 'Tb8 Nd2 Ru4'
_cell_length_a 7.7794
_cell_length_b 6.4666
_cell_length_c 7.9900
_cell_angle_alpha 90.00
_cell_angle_beta 112.68
_cell_angle_gamma 90.00
_space_group_name_H-M_alt 'P 1 21/m 1'
_space_group_IT_number 11
loop_
_space_group_symop_operation_xyz
'x,y,z'
'-x,-y,-z'
'-x,y+1/2,-z'
'x,-y+1/2,z'
loop_
_atom_site_label
_atom_site_fract_x
_atom_site_fract_y
_atom_site_fract_z
Tb1 0.1207 0.2500 0.4808
Tb2 0.1761 0.7500 0.2493
Tb3 0.2550 0.5008 0.9149
Nd1 0.4783 0.2500 0.3365
Ru1 0.0865 0.2500 0.1278
Ru2 0.4788 0.2500 0.7639
# * ΔH_f (0 K): -216 meV per atom
# * total energy: -6.1936 eV/atom
# * crystal system: monoclinic
# * ρ: 8.79 g/cm3
# * total moment: 0.00 μB/f.u.



# Dy3TmTh4S8, optimized geometry, DFT PBE
data_Dy3TmTh4S8
_chemical_formula_sum 'Dy9 Tm3 Th12 S24'
_cell_length_a 7.7856
_cell_length_b 7.7856
_cell_length_c 20.1598
_cell_angle_alpha 90.00
_cell_angle_beta 90.00
_cell_angle_gamma 120.00
_space_group_name_H-M_alt 'R -3 m'
_space_group_IT_number 166
_space_group_name_Hall '-R 3 2"'
loop_
_atom_site_label
_atom_site_fract_x
_atom_site_fract_y
_atom_site_fract_z
Dy1 0.0000 0.5000 0.0000
Tm1 0.0000 0.0000 0.0000
Th1 0.0000 0.0000 0.5000
Th2 0.0000 0.5000 0.5000
S1 0.0000 0.0000 0.2555
S2 0.0028 0.5014 0.7439
# * total energy: -6.9699 eV/atom
# * crystal system: trigonal
# * ρ: 8.67 g/cm3
# * total moment: 0.00 μB/f.u.



# Zr2InO, optimized geometry, DFT PBE
data_Zr2InO
_chemical_formula_sum 'Zr6 In3 O3'
_cell_length_a 3.3095
_cell_length_b 3.3095
_cell_length_c 22.5317
_cell_angle_alpha 90.00
_cell_angle_beta 90.00
_cell_angle_gamma 120.00
_space_group_name_H-M_alt 'R -3 m'
_space_group_IT_number 166
_space_group_name_Hall '-R 3 2"'
loop_
_atom_site_label
_atom_site_fract_x
_atom_site_fract_y
_atom_site_fract_z
Zr1 0.0000 0.0000 0.2240
In1 0.0000 0.0000 0.0000
O1 0.0000 0.0000 0.5000
# * ΔE to the lowest computed polymorph: 2.7 kJ per mole of atoms
# * total energy: -7.4845 eV/atom
# * crystal system: trigonal
# * ρ: 7.30 g/cm3
# * total moment: 0.00 μB/f.u.



# SrNd2MoN4, optimized geometry, DFT PBE
data_SrNd2MoN4
_chemical_formula_sum 'Sr4 Nd8 Mo4 N16'
_cell_length_a 3.5750
_cell_length_b 12.4138
_cell_length_c 12.4400
_cell_angle_alpha 90.00
_cell_angle_beta 90.00
_cell_angle_gamma 90.00
_space_group_name_H-M_alt 'C m c m'
_space_group_IT_number 63
_space_group_name_Hall '-C 2c 2'
loop_
_atom_site_label
_atom_site_fract_x
_atom_site_fract_y
_atom_site_fract_z
Sr1 0.0000 0.0915 0.2500
Nd1 0.0000 0.3699 0.0382
Mo1 0.0000 0.1733 0.7500
N1 0.0000 0.0000 0.0000
N2 0.0000 0.2615 0.6261
N3 0.0000 0.4073 0.2500
# * total energy: -7.8416 eV/atom
# * crystal system: orthorhombic
# * ρ: 6.35 g/cm3
# * total moment: 0.00 μB/f.u.



# CsVZn, optimized geometry, DFT PBE
data_CsVZn
_chemical_formula_sum 'Cs4 V4 Zn4'
_cell_length_a 7.3693
_cell_length_b 7.3693
_cell_length_c 7.3693
_cell_angle_alpha 90.00
_cell_angle_beta 90.00
_cell_angle_gamma 90.00
_space_group_name_H-M_alt 'F -4 3 m'
_space_group_IT_number 216
_space_group_name_Hall 'F -4 2 3'
loop_
_atom_site_label
_atom_site_fract_x
_atom_site_fract_y
_atom_site_fract_z
Cs1 0.0000 0.0000 0.0000
V1 0.0000 0.0000 0.5000
Zn1 0.2500 0.2500 0.2500
# * ΔH_f (0 K): 1306 meV per atom
# * ΔE to the lowest computed polymorph: 86.4 kJ per mole of atoms
# * total energy: -2.4429 eV/atom
# * crystal system: cubic
# * ρ: 4.14 g/cm3
# * total moment: 4.06 μB/f.u.



# UCdSe2, optimized geometry, DFT PBE
data_UCdSe2
_chemical_formula_sum 'U3 Cd3 Se6'
_cell_length_a 4.0786
_cell_length_b 4.0786
_cell_length_c 27.2600
_cell_angle_alpha 90.00
_cell_angle_beta 90.00
_cell_angle_gamma 120.00
_space_group_name_H-M_alt 'R 3 m'
_space_group_IT_number 160
_space_group_name_Hall 'R 3 -2"'
loop_
_atom_site_label
_atom_site_fract_x
_atom_site_fract_y
_atom_site_fract_z
U1 0.0000 0.0000 0.0000
Cd1 0.0000 0.0000 0.8350
Se1 0.0000 0.0000 0.3912
Se2 0.0000 0.0000 0.6094
# * ΔE to the lowest computed polymorph: 0.0 kJ per mole of atoms
# * total energy: -5.5028 eV/atom
# * crystal system: trigonal
# * ρ: 6.45 g/cm3
# * total moment: 2.01 μB/f.u.



# Nb2ReNi, optimized geometry, DFT PBE
data_Nb2ReNi
_chemical_formula_sum 'Nb8 Re4 Ni4'
_cell_length_a 7.0272
_cell_length_b 7.0272
_cell_length_c 5.3935
_cell_angle_alpha 90.00
_cell_angle_beta 90.00
_cell_angle_gamma 90.00
_space_group_name_H-M_alt 'I -4 2 d'
_space_group_IT_number 122
_space_group_name_Hall 'I -4 2bw'
loop_
_atom_site_label
_atom_site_fract_x
_atom_site_fract_y
_atom_site_fract_z
Nb1 0.2374 0.2500 0.1250
Re1 0.0000 0.0000 0.5000
Ni1 0.0000 0.0000 0.0000
# * ΔH_f (0 K): 451 meV per atom
# * total energy: -9.1410 eV/atom
# * crystal system: tetragonal
# * ρ: 10.74 g/cm3
# * total moment: 0.00 μB/f.u.



# PmZn12Ni7, optimized geometry, DFT PBE
data_PmZn12Ni7
_chemical_formula_sum 'Pm2 Zn24 Ni14'
_cell_length_a 8.7402
_cell_length_b 8.7402
_cell_length_c 8.7402
_cell_angle_alpha 90.00
_cell_angle_beta 90.00
_cell_angle_gamma 90.00
_space_group_name_H-M_alt 'I m -3'
_space_group_IT_number 204
_space_group_name_Hall '-I 2 2 3'
loop_
_atom_site_label
_atom_site_fract_x
_atom_site_fract_y
_atom_site_fract_z
Pm1 0.0000 0.0000 0.0000
Zn1 0.0000 0.3455 0.2392
Ni1 0.0000 0.0000 0.5000
Ni2 0.2500 0.2500 0.2500
# * ΔH_f (0 K): 133 meV per atom
# * total energy: -2.8924 eV/atom
# * crystal system: cubic
# * ρ: 6.67 g/cm3
# * total moment: 0.00 μB/f.u.



# BaMnTe3, optimized geometry, DFT PBE
data_BaMnTe3
_chemical_formula_sum 'Ba1 Mn1 Te3'
_cell_length_a 6.4003
_cell_length_b 6.4003
_cell_length_c 6.4003
_cell_angle_alpha 90.00
_cell_angle_beta 90.00
_cell_angle_gamma 90.00
_space_group_name_H-M_alt 'P m -3 m'
_space_group_IT_number 221
_space_group_name_Hall '-P 4 2 3'
loop_
_atom_site_label
_atom_site_fract_x
_atom_site_fract_y
_atom_site_fract_z
Ba1 0.0000 0.0000 0.0000
Mn1 0.5000 0.5000 0.5000
Te1 0.0000 0.0000 0.5000
# * ΔE to the lowest computed polymorph: 97.1 kJ per mole of atoms
# * total energy: -3.4402 eV/atom
# * crystal system: cubic
# * ρ: 3.64 g/cm3
# * total moment: 3.22 μB/f.u.



# ZnCl2, optimized geometry, DFT PBE
data_ZnCl2
_chemical_formula_sum 'Zn2 Cl4'
_cell_length_a 4.0656
_cell_length_b 4.0656
_cell_length_c 8.9387
_cell_angle_alpha 90.00
_cell_angle_beta 90.00
_cell_angle_gamma 120.00
_space_group_name_H-M_alt 'P 63/m m c'
_space_group_IT_number 194
_space_group_name_Hall '-P 6c 2c'
loop_
_atom_site_label
_atom_site_fract_x
_atom_site_fract_y
_atom_site_fract_z
Zn1 0.3333 0.6667 0.2500
Cl1 0.0000 0.0000 0.0000
Cl2 0.3333 0.6667 0.7500
# * total energy: -2.2119 eV/atom
# * crystal system: hexagonal
# * ρ: 3.54 g/cm3
# * total moment: 0.00 μB/f.u.



# ErTmTh, optimized geometry, DFT PBE
data_ErTmTh
_chemical_formula_sum 'Er2 Tm2 Th2'
_cell_length_a 3.5500
_cell_length_b 3.5500
_cell_length_c 14.8453
_cell_angle_alpha 90.00
_cell_angle_beta 90.00
_cell_angle_gamma 90.00
_space_group_name_H-M_alt 'I 4 m m'
_space_group_IT_number 107
_space_group_name_Hall 'I 4 -2'
loop_
_atom_site_label
_atom_site_fract_x
_atom_site_fract_y
_atom_site_fract_z
Er1 0.0000 0.0000 0.0000
Tm1 0.0000 0.0000 0.6746
Th1 0.0000 0.0000 0.3369
# * ΔH_f (0 K): 23 meV per atom
# * ΔE to the lowest computed polymorph: 0.6 kJ per mole of atoms
# * total energy: -5.4616 eV/atom
# * crystal system: tetragonal
# * ρ: 10.09 g/cm3
# * total moment: 0.00 μB/f.u.